1.
Compound: SmMnNi10
Source: Alexandria via LeMat-Bulk
Functional: PBE
Structure: optimized geometry

**Fermi-level density of states**: 13.6 states/eV/cell
**M_tot**: 8.377 μB/f.u.
**ΔE_f**: -73 meV/atom

Unit cell a=3.994 b=4.775 c=8.297 alpha=90.00 beta=90.00 gamma=90.00
Last column: magnetic moment on the atom in μB.
Atoms (fractional coordinates):
Ni (0.000, 0.000, 0.655)  0.41
Ni (0.500, 0.253, 0.257)  0.53
Ni (0.000, 0.500, 0.814)  0.36
Ni (0.500, 0.000, 0.500)  0.58
Ni (0.500, 0.747, 0.743)  0.53
Ni (0.500, 0.500, 0.000)  0.48
Ni (0.500, 0.253, 0.743)  0.53
Ni (0.000, 0.000, 0.345)  0.41
Ni (0.500, 0.747, 0.257)  0.53
Ni (0.000, 0.500, 0.186)  0.36
Mn (0.000, 0.500, 0.500)  3.93
Sm (0.000, 0.000, 0.000)  -0.08

---

2.
Compound: Sm3MnNi8
Source: Alexandria via LeMat-Bulk
Functional: PBE
Structure: optimized geometry

**Fermi-level density of states**: 10.2 states/eV/cell
**M_tot**: 5.107 μB/f.u.
**ΔE_f**: -292 meV/atom

Unit cell a=5.032 b=5.032 c=8.755 alpha=73.30 beta=73.30 gamma=60.00
Last column: magnetic moment on the atom in μB.
Atoms (fractional coordinates):
Ni (0.435, 0.435, 0.192)  0.17
Ni (0.189, 0.189, 0.434)  0.29
Ni (0.938, 0.435, 0.192)  0.17
Ni (0.688, 0.688, 0.936)  0.09
Ni (0.435, 0.938, 0.192)  0.17
Ni (0.938, 0.938, 0.679)  0.14
Ni (0.444, 0.938, 0.679)  0.14
Ni (0.938, 0.444, 0.679)  0.14
Sm (0.992, 0.992, 0.024)  -0.02
Sm (0.377, 0.377, 0.868)  -0.04
Sm (0.506, 0.506, 0.483)  -0.04
Mn (0.870, 0.870, 0.391)  3.87

---

3.
Compound: Sm2MnZn2Ni5
Source: Alexandria via LeMat-Bulk
Functional: PBE
Structure: optimized geometry

**Fermi-level density of states**: 12.3 states/eV/cell
**M_tot**: 4.040 μB/f.u.
**ΔE_f**: -159 meV/atom

Unit cell a=3.565 b=9.374 c=9.374 alpha=90.00 beta=90.00 gamma=90.00
Last column: magnetic moment on the atom in μB.
Atoms (fractional coordinates):
Ni (0.500, 0.800, 0.943)  0.15
Ni (0.500, 0.200, 0.057)  0.15
Ni (0.500, 0.057, 0.800)  0.15
Ni (0.500, 0.443, 0.300)  0.15
Ni (0.500, 0.943, 0.200)  0.15
Ni (0.500, 0.000, 0.500)  0.01
Ni (0.500, 0.700, 0.443)  0.15
Ni (0.500, 0.300, 0.557)  0.15
Ni (0.500, 0.557, 0.700)  0.15
Ni (0.500, 0.500, 0.000)  0.01
Zn (0.000, 0.882, 0.382)  -0.01
Zn (0.000, 0.382, 0.118)  -0.01
Zn (0.000, 0.618, 0.882)  -0.01
Zn (0.000, 0.118, 0.618)  -0.01
Sm (0.000, 0.679, 0.179)  -0.06
Sm (0.000, 0.321, 0.821)  -0.06
Sm (0.000, 0.821, 0.679)  -0.06
Sm (0.000, 0.179, 0.321)  -0.06
Mn (0.000, 0.000, 0.000)  3.58
Mn (0.000, 0.500, 0.500)  3.58

---

4.
Compound: Sm2Mn2ZnNi5
Source: Alexandria via LeMat-Bulk
Functional: PBE
Structure: optimized geometry

**Fermi-level density of states**: 15.7 states/eV/cell
**M_tot**: 7.998 μB/f.u.
**ΔE_f**: -71 meV/atom

Unit cell a=3.660 b=9.229 c=9.229 alpha=90.00 beta=90.00 gamma=90.00
Last column: magnetic moment on the atom in μB.
Atoms (fractional coordinates):
Mn (0.000, 0.883, 0.383)  3.14
Mn (0.000, 0.617, 0.883)  3.14
Mn (0.000, 0.383, 0.117)  3.14
Mn (0.000, 0.117, 0.617)  3.14
Ni (0.500, 0.055, 0.795)  0.35
Ni (0.500, 0.945, 0.205)  0.35
Ni (0.500, 0.500, 0.000)  0.54
Ni (0.500, 0.795, 0.945)  0.35
Ni (0.500, 0.205, 0.055)  0.35
Ni (0.500, 0.555, 0.705)  0.35
Ni (0.500, 0.445, 0.295)  0.35
Ni (0.500, 0.705, 0.445)  0.35
Ni (0.500, 0.000, 0.500)  0.54
Ni (0.500, 0.295, 0.555)  0.35
Sm (0.000, 0.183, 0.317)  -0.06
Sm (0.000, 0.683, 0.183)  -0.06
Sm (0.000, 0.317, 0.817)  -0.06
Sm (0.000, 0.817, 0.683)  -0.06
Zn (0.000, 0.000, 0.000)  0.00
Zn (0.000, 0.500, 0.500)  0.00

---

5.
Compound: Sm2MnZn12Ni3
Source: Alexandria via LeMat-Bulk
Functional: PBE
Structure: optimized geometry

**Fermi-level density of states**: 9.5 states/eV/cell
**M_tot**: 4.079 μB/f.u.
**ΔE_f**: 248 meV/atom

Unit cell a=7.468 b=7.468 c=7.468 alpha=71.26 beta=71.26 gamma=71.26
Last column: magnetic moment on the atom in μB.
Atoms (fractional coordinates):
Zn (0.850, 0.294, 0.294)  -0.01
Zn (0.706, 0.706, 0.150)  -0.01
Zn (0.141, 0.141, 0.636)  0.00
Zn (0.364, 0.859, 0.859)  0.00
Zn (0.859, 0.859, 0.364)  0.00
Zn (0.141, 0.636, 0.141)  0.00
Zn (0.859, 0.364, 0.859)  0.00
Zn (0.636, 0.141, 0.141)  0.00
Zn (0.294, 0.294, 0.850)  -0.01
Zn (0.294, 0.850, 0.294)  -0.01
Zn (0.150, 0.706, 0.706)  -0.01
Zn (0.706, 0.150, 0.706)  -0.01
Sm (0.398, 0.398, 0.398)  0.04
Sm (0.602, 0.602, 0.602)  0.04
Ni (0.500, 0.000, 0.000)  0.04
Ni (0.000, 0.500, 0.000)  0.04
Ni (0.000, 0.000, 0.500)  0.04
Mn (0.000, 0.000, 0.000)  3.69

---

6.
Compound: Sm2MnZn3Ni12
Source: Alexandria via LeMat-Bulk
Functional: PBE
Structure: optimized geometry

**Fermi-level density of states**: 16.2 states/eV/cell
**M_tot**: 4.452 μB/f.u.
**ΔE_f**: 116 meV/atom

Unit cell a=9.263 b=9.263 c=9.263 alpha=37.88 beta=37.88 gamma=37.88
Last column: magnetic moment on the atom in μB.
Atoms (fractional coordinates):
Ni (0.071, 0.649, 0.071)  0.24
Ni (0.187, 0.578, 0.578)  0.08
Ni (0.813, 0.422, 0.422)  0.08
Ni (0.578, 0.187, 0.578)  0.08
Ni (0.929, 0.351, 0.929)  0.24
Ni (0.649, 0.071, 0.071)  0.24
Ni (0.351, 0.929, 0.929)  0.24
Ni (0.578, 0.578, 0.187)  0.08
Ni (0.422, 0.813, 0.422)  0.08
Ni (0.071, 0.071, 0.649)  0.24
Ni (0.929, 0.929, 0.351)  0.24
Ni (0.422, 0.422, 0.813)  0.08
Sm (0.347, 0.347, 0.347)  -0.07
Sm (0.653, 0.653, 0.653)  -0.07
Zn (0.000, 0.000, 0.500)  0.00
Zn (0.500, 0.000, 0.000)  0.00
Zn (0.000, 0.500, 0.000)  0.00
Mn (0.000, 0.000, 0.000)  2.81

---

7.
Compound: MnNi6Sn
Source: Alexandria via LeMat-Bulk
Functional: PBE
Structure: optimized geometry

**ΔE to the lowest computed polymorph**: 27 meV/atom
**Fermi-level density of states**: 8.2 states/eV/cell
**M_tot**: 5.226 μB/f.u.
**ΔE_f**: -97 meV/atom

Unit cell a=4.192 b=5.196 c=5.196 alpha=120.00 beta=90.00 gamma=90.00
Last column: magnetic moment on the atom in μB.
Atoms (fractional coordinates):
Sn (0.500, 0.417, 0.583)  -0.02
Ni (0.000, 0.591, 0.932)  0.29
Ni (0.500, 0.915, 0.085)  0.32
Ni (0.000, 0.068, 0.409)  0.29
Ni (0.500, 0.421, 0.085)  0.32
Ni (0.000, 0.591, 0.409)  0.29
Ni (0.500, 0.915, 0.579)  0.32
Mn (0.000, 0.083, 0.917)  3.46

---

8.
Compound: Mn2Ni6Sn
Source: Alexandria via LeMat-Bulk
Functional: PBE
Structure: optimized geometry

**Fermi-level density of states**: 9.6 states/eV/cell
**M_tot**: 9.837 μB/f.u.
**ΔE_f**: 116 meV/atom

Unit cell a=5.940 b=4.982 c=4.982 alpha=120.00 beta=90.00 gamma=90.00
Last column: magnetic moment on the atom in μB.
Atoms (fractional coordinates):
Sn (0.500, 0.000, 0.000)  -0.07
Ni (0.159, 0.652, 0.826)  0.41
Ni (0.841, 0.826, 0.174)  0.41
Ni (0.159, 0.174, 0.348)  0.41
Ni (0.841, 0.826, 0.652)  0.41
Ni (0.841, 0.348, 0.174)  0.41
Ni (0.159, 0.174, 0.826)  0.41
Mn (0.246, 0.667, 0.333)  3.67
Mn (0.754, 0.333, 0.667)  3.67

---

9.
Compound: Mn3Ni4Sn
Source: Alexandria via LeMat-Bulk
Functional: PBE
Structure: optimized geometry

**Fermi-level density of states**: 5.8 states/eV/cell
**M_tot**: 12.665 μB/f.u.
**ΔE_f**: -87 meV/atom

Unit cell a=7.356 b=7.356 c=7.356 alpha=33.07 beta=33.07 gamma=33.07
Last column: magnetic moment on the atom in μB.
Atoms (fractional coordinates):
Ni (0.381, 0.381, 0.381)  0.36
Ni (0.129, 0.129, 0.129)  0.64
Ni (0.619, 0.619, 0.619)  0.36
Ni (0.871, 0.871, 0.871)  0.64
Mn (0.752, 0.752, 0.752)  3.51
Mn (0.500, 0.500, 0.500)  3.52
Mn (0.248, 0.248, 0.248)  3.51
Sn (0.000, 0.000, 0.000)  -0.07

---

10.
Compound: MnNi6Sn
Source: Alexandria via LeMat-Bulk
Functional: PBE
Structure: optimized geometry

**ΔE to the lowest computed polymorph**: 0 meV/atom
**Fermi-level density of states**: 29.2 states/eV/cell
**M_tot**: 4.915 μB/f.u.
**ΔE_f**: -125 meV/atom

Unit cell a=6.325 b=6.325 c=10.345 alpha=90.00 beta=90.00 gamma=109.74
Last column: magnetic moment on the atom in μB.
Atoms (fractional coordinates):
Ni (0.746, 0.254, 0.758)  0.29
Ni (0.384, 0.128, 0.120)  0.41
Ni (0.621, 0.866, 0.370)  0.19
Ni (0.872, 0.616, 0.880)  0.41
Ni (0.254, 0.746, 0.242)  0.29
Ni (0.000, 0.000, 0.500)  0.09
Ni (0.500, 0.500, 0.500)  0.21
Ni (0.379, 0.134, 0.370)  0.19
Ni (0.384, 0.128, 0.880)  0.41
Ni (0.872, 0.616, 0.120)  0.41
Ni (0.000, 0.000, 0.000)  0.35
Ni (0.866, 0.621, 0.630)  0.19
Ni (0.616, 0.872, 0.120)  0.41
Ni (0.621, 0.866, 0.630)  0.19
Ni (0.866, 0.621, 0.370)  0.19
Ni (0.128, 0.384, 0.880)  0.41
Ni (0.746, 0.254, 0.242)  0.29
Ni (0.128, 0.384, 0.120)  0.41
Ni (0.134, 0.379, 0.630)  0.19
Ni (0.616, 0.872, 0.880)  0.41
Ni (0.500, 0.500, 0.000)  0.55
Ni (0.254, 0.746, 0.758)  0.29
Ni (0.134, 0.379, 0.370)  0.19
Ni (0.379, 0.134, 0.630)  0.19
Sn (0.000, 0.000, 0.246)  -0.03
Sn (0.752, 0.248, 0.500)  -0.03
Sn (0.000, 0.000, 0.754)  -0.03
Sn (0.248, 0.752, 0.500)  -0.03
Mn (0.751, 0.249, 0.000)  3.23
Mn (0.500, 0.500, 0.245)  3.29
Mn (0.500, 0.500, 0.755)  3.29
Mn (0.249, 0.751, 0.000)  3.23

---

11.
Compound: MnNiSn3
Source: Alexandria via LeMat-Bulk
Functional: PBE
Structure: optimized geometry

**ΔE to the lowest computed polymorph**: 0 meV/atom
**Fermi-level density of states**: 4.8 states/eV/cell
**M_tot**: 4.693 μB/f.u.
**ΔE_f**: 400 meV/atom

Unit cell a=4.962 b=4.962 c=4.962 alpha=90.00 beta=90.00 gamma=90.00
Last column: magnetic moment on the atom in μB.
Atoms (fractional coordinates):
Mn (0.500, 0.500, 0.500)  4.26
Ni (0.000, 0.000, 0.000)  -0.02
Sn (0.500, 0.000, 0.000)  0.00
Sn (0.000, 0.500, 0.000)  -0.02
Sn (0.000, 0.000, 0.500)  0.03

---

12.
Compound: MnNiSn3
Source: Alexandria via LeMat-Bulk
Functional: PBE
Structure: optimized geometry

**ΔE to the lowest computed polymorph**: 190 meV/atom
**Fermi-level density of states**: 5.8 states/eV/cell
**M_tot**: 0.473 μB/f.u.
**ΔE_f**: 591 meV/atom

Unit cell a=4.833 b=4.833 c=4.833 alpha=90.00 beta=90.00 gamma=90.00
Last column: magnetic moment on the atom in μB.
Atoms (fractional coordinates):
Sn (0.000, 0.000, 0.500)  -0.04
Sn (0.500, 0.000, 0.000)  -0.03
Sn (0.000, 0.500, 0.000)  -0.04
Ni (0.500, 0.500, 0.500)  -0.31
Mn (0.000, 0.000, 0.000)  0.77

---

13.
Compound: Mn3Ni12Sn
Source: Alexandria via LeMat-Bulk
Functional: PBE
Structure: optimized geometry

**Fermi-level density of states**: 17.2 states/eV/cell
**M_tot**: 15.084 μB/f.u.
**ΔE_f**: -113 meV/atom

Unit cell a=3.617 b=3.617 c=14.395 alpha=90.00 beta=90.00 gamma=90.00
Last column: magnetic moment on the atom in μB.
Atoms (fractional coordinates):
Ni (0.500, 0.000, 0.866)  0.33
Ni (0.000, 0.500, 0.866)  0.33
Ni (0.500, 0.000, 0.134)  0.33
Ni (0.500, 0.500, 0.745)  0.53
Ni (0.500, 0.000, 0.378)  0.61
Ni (0.500, 0.500, 0.000)  0.13
Ni (0.000, 0.500, 0.378)  0.61
Ni (0.500, 0.000, 0.622)  0.61
Ni (0.500, 0.500, 0.255)  0.53
Ni (0.000, 0.500, 0.134)  0.33
Ni (0.000, 0.500, 0.622)  0.61
Ni (0.500, 0.500, 0.500)  0.62
Mn (0.000, 0.000, 0.500)  3.27
Mn (0.000, 0.000, 0.256)  3.26
Mn (0.000, 0.000, 0.744)  3.26
Sn (0.000, 0.000, 0.000)  -0.03

---

14.
Compound: MnNi6Sn2
Source: Alexandria via LeMat-Bulk
Functional: PBE
Structure: optimized geometry

**Fermi-level density of states**: 6.7 states/eV/cell
**M_tot**: 4.748 μB/f.u.
**ΔE_f**: -31 meV/atom

Unit cell a=5.917 b=4.944 c=4.944 alpha=62.75 beta=101.84 gamma=101.84
Last column: magnetic moment on the atom in μB.
Atoms (fractional coordinates):
Ni (0.629, 0.141, 0.652)  0.22
Ni (0.264, 0.822, 0.822)  0.24
Ni (0.371, 0.859, 0.348)  0.22
Ni (0.629, 0.652, 0.141)  0.22
Ni (0.371, 0.348, 0.859)  0.22
Ni (0.736, 0.178, 0.178)  0.24
Sn (0.811, 0.661, 0.661)  -0.04
Sn (0.189, 0.339, 0.339)  -0.04
Mn (0.000, 0.000, 0.000)  3.44

---

15.
Compound: MnNi12Sn3
Source: Alexandria via LeMat-Bulk
Functional: PBE
Structure: optimized geometry

**Fermi-level density of states**: 15.9 states/eV/cell
**M_tot**: 4.944 μB/f.u.
**ΔE_f**: -150 meV/atom

Unit cell a=3.708 b=3.708 c=14.658 alpha=90.00 beta=90.00 gamma=90.00
Last column: magnetic moment on the atom in μB.
Atoms (fractional coordinates):
Ni (0.000, 0.500, 0.628)  -0.01
Ni (0.500, 0.500, 0.000)  0.49
Ni (0.500, 0.000, 0.885)  0.33
Ni (0.000, 0.500, 0.885)  0.33
Ni (0.500, 0.500, 0.500)  0.00
Ni (0.500, 0.000, 0.372)  -0.01
Ni (0.500, 0.000, 0.628)  -0.01
Ni (0.500, 0.500, 0.245)  0.04
Ni (0.500, 0.500, 0.755)  0.04
Ni (0.000, 0.500, 0.115)  0.33
Ni (0.500, 0.000, 0.115)  0.33
Ni (0.000, 0.500, 0.372)  -0.01
Sn (0.000, 0.000, 0.243)  -0.01
Sn (0.000, 0.000, 0.500)  -0.01
Sn (0.000, 0.000, 0.757)  -0.01
Mn (0.000, 0.000, 0.000)  3.25

---

16.
Compound: MnNi15Sn4
Source: Alexandria via LeMat-Bulk
Functional: PBE
Structure: optimized geometry

**Fermi-level density of states**: 19.4 states/eV/cell
**M_tot**: 4.980 μB/f.u.
**ΔE_f**: -157 meV/atom

Unit cell a=3.716 b=3.716 c=18.356 alpha=90.00 beta=90.00 gamma=90.00
Last column: magnetic moment on the atom in μB.
Atoms (fractional coordinates):
Sn (0.000, 0.000, 0.806)  -0.01
Sn (0.000, 0.000, 0.602)  0.00
Sn (0.000, 0.000, 0.398)  0.00
Sn (0.000, 0.000, 0.194)  -0.01
Ni (0.500, 0.500, 0.602)  0.01
Ni (0.500, 0.500, 0.805)  0.05
Ni (0.500, 0.000, 0.704)  -0.01
Ni (0.000, 0.500, 0.908)  0.33
Ni (0.500, 0.500, 0.398)  0.01
Ni (0.500, 0.500, 0.195)  0.05
Ni (0.000, 0.500, 0.092)  0.33
Ni (0.500, 0.000, 0.500)  -0.01
Ni (0.000, 0.500, 0.296)  -0.01
Ni (0.500, 0.000, 0.092)  0.33
Ni (0.000, 0.500, 0.500)  -0.01
Ni (0.500, 0.500, 0.000)  0.50
Ni (0.000, 0.500, 0.704)  -0.01
Ni (0.500, 0.000, 0.908)  0.33
Ni (0.500, 0.000, 0.296)  -0.01
Mn (0.000, 0.000, 0.000)  3.25

---

17.
Compound: Mn3Ni3Sn2
Source: Alexandria via LeMat-Bulk
Functional: PBE
Structure: optimized geometry

**Fermi-level density of states**: 6.2 states/eV/cell
**M_tot**: 4.592 μB/f.u.
**ΔE_f**: -89 meV/atom

Unit cell a=4.320 b=4.320 c=7.456 alpha=73.16 beta=90.00 gamma=120.00
Last column: magnetic moment on the atom in μB.
Atoms (fractional coordinates):
Ni (0.371, 0.741, 0.888)  0.09
Ni (0.878, 0.756, 0.366)  0.21
Ni (0.128, 0.257, 0.615)  0.23
Sn (0.004, 0.008, 0.987)  0.01
Sn (0.496, 0.992, 0.512)  -0.02
Mn (0.249, 0.497, 0.254)  3.37
Mn (0.751, 0.502, 0.747)  3.55
Mn (0.623, 0.246, 0.130)  -2.95

---

18.
Compound: MnNiSn2
Source: Alexandria via LeMat-Bulk
Functional: PBE
Structure: optimized geometry

**ΔE to the lowest computed polymorph**: 0 meV/atom
**Fermi-level density of states**: 3.4 states/eV/cell
**M_tot**: 2.541 μB/f.u.
**ΔE_f**: 182 meV/atom

Unit cell a=4.567 b=4.567 c=4.567 alpha=60.00 beta=60.00 gamma=60.00
Last column: magnetic moment on the atom in μB.
Atoms (fractional coordinates):
Mn (0.000, 0.000, 0.000)  2.52
Sn (0.750, 0.750, 0.750)  -0.08
Sn (0.250, 0.250, 0.250)  -0.08
Ni (0.500, 0.500, 0.500)  0.08

---

19.
Compound: Mn4Ni15Sn
Source: Alexandria via LeMat-Bulk
Functional: PBE
Structure: optimized geometry

**Fermi-level density of states**: 20.1 states/eV/cell
**M_tot**: 19.446 μB/f.u.
**ΔE_f**: -111 meV/atom

Unit cell a=3.606 b=3.606 c=17.944 alpha=90.00 beta=90.00 gamma=90.00
Last column: magnetic moment on the atom in μB.
Atoms (fractional coordinates):
Ni (0.500, 0.000, 0.500)  0.56
Ni (0.500, 0.500, 0.000)  0.10
Ni (0.500, 0.500, 0.598)  0.56
Ni (0.500, 0.500, 0.205)  0.52
Ni (0.500, 0.500, 0.795)  0.52
Ni (0.500, 0.000, 0.108)  0.29
Ni (0.000, 0.500, 0.500)  0.56
Ni (0.000, 0.500, 0.304)  0.57
Ni (0.500, 0.000, 0.696)  0.57
Ni (0.000, 0.500, 0.108)  0.29
Ni (0.500, 0.500, 0.402)  0.56
Ni (0.000, 0.500, 0.892)  0.29
Ni (0.500, 0.000, 0.892)  0.29
Ni (0.000, 0.500, 0.696)  0.57
Ni (0.500, 0.000, 0.304)  0.57
Mn (0.000, 0.000, 0.794)  3.23
Mn (0.000, 0.000, 0.206)  3.23
Mn (0.000, 0.000, 0.598)  3.25
Mn (0.000, 0.000, 0.402)  3.25
Sn (0.000, 0.000, 0.000)  -0.03

---

Calculated density, record by record: 8.3 8.9 8.3 8.2 6.0 7.8 8.9 7.6 8.2 9.0 6.4 6.9 8.7 8.6 9.2 9.2 8.5 8.7 8.7 g/cm3